A relaxed structure of Zn2CoSb, computed with PBE.

Values from the calculation:
For the density of states at the Fermi level, the calculation gives 2.55 states/eV/f.u. Its total magnetization is 0.11 μB/atom. The calculation puts the energy relative to the elements, uncorrected at 10.4 kJ per mole of atoms. For the volume, the calculation gives 65 Å³/cell.

Cell: 3.2459 3.9049 5.3815 Å, 90.00 107.16 90.00°
Positions (direct):
Zn 0.0000 0.0000 0.0000
Zn 0.4378 0.5000 0.8762
Co 0.1523 0.5000 0.3053
Sb 0.7319 0.0000 0.4728

---

A relaxed structure of ZnCo2Sb, computed with PBE.

Values from the calculation:
For the density of states at the Fermi level, the calculation gives 6.86 states/eV/f.u. Its total magnetization is 0.54 μB/atom. The calculation puts the energy relative to the elements, uncorrected at 33.8 kJ per mole of atoms. As for the offset from the most stable computed form: 0.339 eV/atom. For the volume, the calculation gives 58 Å³/cell.

Cell: 4.3425 4.3425 4.3425 Å, 60.00 60.00 60.00°
Positions (direct):
Zn 0.0000 0.0000 0.0000
Co 0.2500 0.2500 0.2500
Co 0.5000 0.5000 0.5000
Sb 0.7500 0.7500 0.7500

---

A relaxed structure of ZnCoSb3, computed with PBE.

Values from the calculation:
For the density of states at the Fermi level, the calculation gives 5.02 states/eV/f.u. Its total magnetization is 0.40 μB/atom. The calculation puts the energy relative to the elements, uncorrected at 104.5 kJ per mole of atoms. As for the offset from the most stable computed form: 0.675 eV/atom. For the volume, the calculation gives 138 Å³/cell.

Cell: 5.1684 5.1684 5.1684 Å, 90.00 90.00 90.00°
Positions (direct):
Zn 0.0000 0.0000 0.0000
Co 0.5000 0.5000 0.5000
Sb 0.0000 0.0000 0.5000
Sb 0.0000 0.5000 0.0000
Sb 0.5000 0.0000 0.0000

---

A relaxed structure of ZnCo2Sb, computed with PBE.

Values from the calculation:
For the density of states at the Fermi level, the calculation gives 1.89 states/eV/f.u. Its total magnetization is 0.32 μB/atom. The calculation puts the energy relative to the elements, uncorrected at 6.8 kJ per mole of atoms. As for the offset from the most stable computed form: 0.059 eV/atom. For the volume, the calculation gives 55 Å³/cell.

Cell: 4.2042 4.2042 3.1136 Å, 90.00 90.00 90.00°
Positions (direct):
Zn 0.0000 0.0000 0.0000
Co 0.0000 0.5000 0.5000
Co 0.5000 0.0000 0.5000
Sb 0.5000 0.5000 0.0000